! TiMnTc3 (PBE, relaxed); values from VASP
! excess energy over the best structure of this formula in the dataset = 0.000 eV per atom
! magnetization = 0.0 μB per cell
! DOS at the Fermi energy = 5.0 states/eV/cell
&SYSTEM
  ibrav = 0, nat = 5, ntyp = 3
/
ATOMIC_SPECIES
Ti 47.87 Ti.upf
Mn 54.94 Mn.upf
Tc 98.00 Tc.upf
CELL_PARAMETERS angstrom
4.385 0.000 0.000
0.000 4.385 0.000
0.000 0.000 4.385
ATOMIC_POSITIONS crystal
Ti 0.000 0.000 0.000
Mn 0.500 0.500 0.500
Tc 0.000 0.500 0.500
Tc 0.500 0.000 0.500
Tc 0.500 0.500 0.000


! Dy6Y3Er2Zr (PBE, relaxed); values from VASP
! magnetization = 0.0 μB per cell
! DOS at the Fermi energy = 15.5 states/eV/cell
! calculated total energy = -5.346 eV per atom
&SYSTEM
  ibrav = 0, nat = 12, ntyp = 4
/
ATOMIC_SPECIES
Dy 162.50 Dy.upf
Y 88.91 Y.upf
Er 167.26 Er.upf
Zr 91.22 Zr.upf
CELL_PARAMETERS angstrom
3.042 -5.259 0.000
3.042 5.259 0.000
-2.009 0.000 11.453
ATOMIC_POSITIONS crystal
Dy 0.081 0.408 0.243
Dy 0.246 0.246 0.757
Dy 0.408 0.081 0.243
Dy 0.592 0.919 0.757
Dy 0.754 0.754 0.243
Dy 0.919 0.592 0.757
Y 0.167 0.833 0.500
Y 0.500 0.500 0.500
Y 0.833 0.167 0.500
Er 0.333 0.667 0.000
Er 0.667 0.333 0.000
Zr 0.000 0.000 0.000


! Dy3Al2Pd6 (PBE, relaxed); values from VASP
! magnetization = 0.0 μB per cell
! DOS at the Fermi energy = 13.5 states/eV/cell
! calculated total energy = -5.663 eV per atom
&SYSTEM
  ibrav = 0, nat = 22, ntyp = 3
/
ATOMIC_SPECIES
Dy 162.50 Dy.upf
Al 26.98 Al.upf
Pd 106.42 Pd.upf
CELL_PARAMETERS angstrom
-4.739 4.739 4.739
4.739 -4.739 4.739
4.739 4.739 -4.739
ATOMIC_POSITIONS crystal
Dy 0.000 0.295 0.295
Dy 0.000 0.705 0.705
Dy 0.295 0.000 0.295
Dy 0.295 0.295 0.000
Dy 0.705 0.000 0.705
Dy 0.705 0.705 0.000
Al 0.000 0.000 0.500
Al 0.000 0.500 0.000
Al 0.500 0.000 0.000
Al 0.500 0.500 0.500
Pd 0.000 0.327 0.673
Pd 0.000 0.673 0.327
Pd 0.327 0.000 0.673
Pd 0.327 0.327 0.654
Pd 0.327 0.654 0.327
Pd 0.327 0.673 0.000
Pd 0.346 0.673 0.673
Pd 0.654 0.327 0.327
Pd 0.673 0.000 0.327
Pd 0.673 0.327 0.000
Pd 0.673 0.346 0.673
Pd 0.673 0.673 0.346


! YReRu3 (PBE, relaxed); values from VASP
! excess energy over the best structure of this formula in the dataset = 0.000 eV per atom
! magnetization = 0.0 μB per cell
! DOS at the Fermi energy = 4.4 states/eV/cell
&SYSTEM
  ibrav = 0, nat = 5, ntyp = 3
/
ATOMIC_SPECIES
Y 88.91 Y.upf
Re 186.21 Re.upf
Ru 101.07 Ru.upf
CELL_PARAMETERS angstrom
4.697 0.000 0.000
0.000 4.697 0.000
0.000 0.000 4.697
ATOMIC_POSITIONS crystal
Y 0.000 0.000 0.000
Re 0.500 0.500 0.500
Ru 0.000 0.500 0.500
Ru 0.500 0.000 0.500
Ru 0.500 0.500 0.000


! TaSbPb2 (PBE, relaxed); values from VASP
! magnetization = 0.0 μB per cell
! ΔE_f (raw) = 26.9 kJ/mol of atoms
! DOS at the Fermi energy = 2.2 states/eV/cell
&SYSTEM
  ibrav = 0, nat = 4, ntyp = 3
/
ATOMIC_SPECIES
Ta 180.95 Ta.upf
Sb 121.76 Sb.upf
Pb 207.20 Pb.upf
CELL_PARAMETERS angstrom
1.978 -2.560 0.000
1.978 2.560 0.000
0.000 0.000 10.595
ATOMIC_POSITIONS crystal
Ta 0.000 0.000 0.000
Sb 0.500 0.500 0.809
Pb 0.000 0.000 0.498
Pb 0.500 0.500 0.216


! Na12In7Au (PBE, relaxed); values from VASP
! magnetization = 0.0 μB per cell
! DOS at the Fermi energy = 10.1 states/eV/cell
! calculated total energy = -2.015 eV per atom
&SYSTEM
  ibrav = 0, nat = 20, ntyp = 3
/
ATOMIC_SPECIES
Na 22.99 Na.upf
In 114.82 In.upf
Au 196.97 Au.upf
CELL_PARAMETERS angstrom
6.613 3.818 3.699
-6.613 3.818 3.699
0.000 -7.636 3.699
ATOMIC_POSITIONS crystal
Na 0.000 0.262 0.738
Na 0.000 0.738 0.262
Na 0.175 0.418 0.176
Na 0.176 0.175 0.418
Na 0.262 0.000 0.738
Na 0.262 0.738 0.000
Na 0.418 0.176 0.175
Na 0.582 0.824 0.825
Na 0.738 0.000 0.262
Na 0.738 0.262 0.000
Na 0.824 0.825 0.582
Na 0.825 0.582 0.824
In 0.000 0.000 0.000
In 0.191 0.587 0.588
In 0.412 0.809 0.413
In 0.413 0.412 0.809
In 0.587 0.588 0.191
In 0.588 0.191 0.587
In 0.809 0.413 0.412
Au 0.500 0.500 0.500


! Be3SiAs (PBE, relaxed); values from VASP
! excess energy over the best structure of this formula in the dataset = 0.000 eV per atom
! magnetization = 0.0 μB per cell
! ΔE_f (raw) = 80.3 kJ/mol of atoms
! DOS at the Fermi energy = 3.2 states/eV/cell
&SYSTEM
  ibrav = 0, nat = 5, ntyp = 3
/
ATOMIC_SPECIES
Be 9.01 Be.upf
Si 28.09 Si.upf
As 74.92 As.upf
CELL_PARAMETERS angstrom
4.233 0.000 0.000
0.000 4.233 0.000
0.000 0.000 4.233
ATOMIC_POSITIONS crystal
Be 0.000 0.000 0.500
Be 0.000 0.500 0.000
Be 0.500 0.000 0.000
Si 0.000 0.000 0.000
As 0.500 0.500 0.500


! MgZrSi (PBE, relaxed); values from VASP
! magnetization = 0.0 μB per cell
! ΔE_f (raw) = -15.3 kJ/mol of atoms
! DOS at the Fermi energy = 6.3 states/eV/cell
&SYSTEM
  ibrav = 0, nat = 12, ntyp = 3
/
ATOMIC_SPECIES
Mg 24.30 Mg.upf
Zr 91.22 Zr.upf
Si 28.09 Si.upf
CELL_PARAMETERS angstrom
7.550 -1.875 0.000
7.550 1.875 0.000
-1.665 0.000 9.314
ATOMIC_POSITIONS crystal
Mg 0.193 0.193 0.198
Mg 0.205 0.205 0.581
Mg 0.795 0.795 0.419
Mg 0.807 0.807 0.802
Zr 0.056 0.056 0.855
Zr 0.428 0.428 0.629
Zr 0.572 0.572 0.371
Zr 0.944 0.944 0.145
Si 0.393 0.393 0.331
Si 0.427 0.427 0.919
Si 0.573 0.573 0.081
Si 0.607 0.607 0.669


Volume values (in Å³/cell) by entry order: 84.3, 366.5, 425.8, 103.6, 107.3, 560.4, 75.8, 263.7.